PmMgSc2 PBE optimized geometry; total magnetization = 0.00 μB/f.u.; SG = R3m, No. 160; energy above the most stable polymorph in this dataset = 7.1 kJ/mol of atoms; formation energy = 0.3 eV/f.u.
1.0
3.3739 0.0000 0.0000
1.6869 2.9219 0.0000
1.6869 0.9740 10.8349
Sc Pm Mg
2 1 1
Direct
0.2547 0.2547 0.2360
0.0785 0.0785 0.7644
0.5004 0.5004 0.4989
0.6665 0.6665 0.0006

PmMgScSi PBE optimized geometry; total magnetization = 0.00 μB/f.u.; SG = F-43m, No. 216
1.0
-0.1016 4.4328 -2.3160
-2.4300 3.8499 2.0730
2.5684 3.8613 1.8755
Sc Pm Si Mg
1 1 1 1
Direct
0.5000 0.5000 0.5000
0.0000 0.0000 0.0000
0.7500 0.7500 0.7500
0.2500 0.2500 0.2500

Pm4Sm2MgSc PBE optimized geometry; total magnetization = 0.00 μB/f.u.; SG = P4/mmm, No. 123; formation energy = 0.2 eV/f.u.
1.0
-1.9919 -0.1704 -4.6089
-1.8523 -4.5644 0.9693
-10.2209 -0.4403 4.4336
Mg Sm Pm Sc
1 2 4 1
Direct
0.5000 0.5000 0.0000
0.0000 0.0000 0.0000
0.5000 0.0000 0.5000
0.0000 0.2476 0.2519
0.5000 0.2529 0.7477
0.5000 0.7471 0.2523
0.0000 0.7524 0.7481
0.0000 0.5000 0.5000

Pm2Sm4MgSc PBE optimized geometry; total magnetization = 0.00 μB/f.u.; SG = P4/mmm, No. 123; formation energy = 0.2 eV/f.u.
1.0
5.0071 0.0000 0.0000
0.0000 4.9085 0.9675
0.0000 2.9835 10.7660
Mg Sm Pm Sc
1 4 2 1
Direct
0.5000 0.5000 0.0000
0.0000 0.7529 0.7475
0.0000 0.2471 0.2525
0.5000 0.2531 0.7473
0.5000 0.7469 0.2527
0.5000 0.0000 0.5000
0.0000 0.0000 0.0000
0.0000 0.5000 0.5000

Tb4Pm2MgSc PBE optimized geometry; total magnetization = 0.00 μB/f.u.; SG = Pmmm, No. 47; formation energy = 0.3 eV/f.u.
1.0
-0.4238 4.9393 -0.1226
-4.5692 -0.4393 -1.9045
-8.3717 -0.5386 7.2373
Tb Mg Sc Pm
4 1 1 2
Direct
0.0000 0.7539 0.7465
0.5000 0.7454 0.2541
0.5000 0.2546 0.7459
0.0000 0.2461 0.2535
0.5000 0.5000 0.0000
0.0000 0.5000 0.5000
0.5000 0.0000 0.5000
0.0000 0.0000 0.0000

TbPmMgSc PBE optimized geometry; total magnetization = 0.00 μB/f.u.; SG = F-43m, No. 216; energy above the most stable polymorph in this dataset = 2.4 kJ/mol of atoms; formation energy = 0.1 eV/f.u.
1.0
-0.1598 0.1071 -5.4280
-0.6877 -4.6101 -2.7881
-4.6781 -0.9304 -2.5980
Tb Mg Sc Pm
1 1 1 1
Direct
0.2500 0.2500 0.2500
0.5000 0.5000 0.5000
0.0000 0.0000 0.0000
0.7500 0.7500 0.7500

TbPmMgSc PBE optimized geometry; total magnetization = 0.00 μB/f.u.; SG = Pm, No. 6; energy above the most stable polymorph in this dataset = 0.0 kJ/mol of atoms; formation energy = 0.0 eV/f.u.
1.0
-1.5545 2.9776 1.0331
-3.0376 -1.1100 -1.3729
-0.6414 -6.8903 6.9948
Pm Tb Mg Sc
1 1 1 1
Direct
0.2476 0.9300 0.8554
0.4650 0.4301 0.5724
0.0026 0.4289 0.1104
0.7152 0.9296 0.3226

PmMgScTc PBE optimized geometry; total magnetization = 0.00 μB/f.u.; SG = F-43m, No. 216; formation energy = 0.1 eV/f.u.
1.0
-0.5338 -1.1427 4.7929
3.8306 -1.8396 2.5505
2.2218 2.7576 3.4673
Pm Mg Sc Tc
1 1 1 1
Direct
0.7500 0.7500 0.7500
0.5000 0.5000 0.5000
0.2500 0.2500 0.2500
0.0000 0.0000 0.0000

Pm2MgScTe5 PBE optimized geometry; total magnetization = 0.00 μB/f.u.; SG = Cmc2_1, No. 36
1.0
4.2963 0.0000 0.0000
-2.1481 9.4381 0.0000
0.0000 0.0000 13.3134
Pm Te Sc Mg
4 10 2 2
Direct
0.1335 0.2671 0.3019
0.1128 0.2255 0.6820
0.8872 0.7745 0.1820
0.8665 0.7329 0.8019
0.6409 0.2818 0.4983
0.3591 0.7182 0.9983
0.7181 0.4361 0.1648
0.0533 0.1066 0.0771
0.6941 0.3882 0.8518
0.5027 0.0054 0.2783
0.3059 0.6118 0.3518
0.2819 0.5639 0.6648
0.9467 0.8934 0.5771
0.4973 0.9946 0.7783
0.2038 0.4076 0.0138
0.7962 0.5924 0.5138
0.4374 0.8749 0.4561
0.5626 0.1251 0.9561

PmMgScTl PBE optimized geometry; total magnetization = 0.00 μB/f.u.; SG = F-43m, No. 216; formation energy = -0.9 eV/f.u.
1.0
5.2642 0.0000 0.0000
2.6321 4.5589 0.0000
2.6321 1.5196 4.2982
Sc Pm Mg Tl
1 1 1 1
Direct
0.0000 0.0000 0.0000
0.5000 0.5000 0.5000
0.2500 0.2500 0.2500
0.7500 0.7500 0.7500

Pm2Tm4MgSc PBE optimized geometry; total magnetization = 0.00 μB/f.u.; SG = P2/m, No. 10; formation energy = 0.3 eV/f.u.
1.0
-0.1620 0.8521 4.8215
-4.3929 -2.1981 0.2409
0.0151 -10.8412 1.9163
Sc Pm Tm Mg
1 2 4 1
Direct
0.0000 0.5000 0.5000
0.0000 0.0000 0.0000
0.5000 0.0000 0.5000
0.5000 0.7445 0.2550
0.0000 0.7546 0.7457
0.0000 0.2454 0.2543
0.5000 0.2555 0.7450
0.5000 0.5000 0.0000

PmMgScZn PBE optimized geometry; total magnetization = 0.00 μB/f.u.; SG = F-43m, No. 216; energy above the most stable polymorph in this dataset = 3.4 kJ/mol of atoms; formation energy = -0.6 eV/f.u.
1.0
5.1123 0.0000 0.0000
2.5562 4.4274 0.0000
2.5562 1.4758 4.1742
Mg Pm Zn Sc
1 1 1 1
Direct
0.5000 0.5000 0.5000
0.2500 0.2500 0.2500
0.0000 0.0000 0.0000
0.7500 0.7500 0.7500

PmMgSc2Zn4 PBE optimized geometry; total magnetization = 0.00 μB/f.u.; SG = R-3m, No. 166; formation energy = -2.2 eV/f.u.
1.0
-2.8266 2.9982 -2.3159
-2.9163 -1.6127 -3.3521
-7.8729 -0.7144 3.8604
Zn Sc Pm Mg
4 2 1 1
Direct
0.1250 0.1250 0.6249
0.6135 0.6135 0.1594
0.3865 0.3865 0.8406
0.8750 0.8750 0.3751
0.2401 0.2401 0.2796
0.7599 0.7599 0.7204
0.0000 0.0000 0.0000
0.5000 0.5000 0.5000

PmMgScZn PBE optimized geometry; total magnetization = 0.00 μB/f.u.; SG = P4mm, No. 99; energy above the most stable polymorph in this dataset = 0.0 kJ/mol of atoms; formation energy = -0.8 eV/f.u.
1.0
3.5090 0.0000 0.0000
0.0000 3.5090 0.0000
0.0000 0.0000 7.7385
Mg Sc Zn Pm
1 1 1 1
Direct
0.0000 0.0000 0.0986
0.5000 0.5000 0.3521
0.0000 0.0000 0.5382
0.5000 0.5000 0.7959

PmMgZrSc PBE optimized geometry; total magnetization = 2.04 μB/f.u.; SG = F-43m, No. 216; formation energy = 0.6 eV/f.u.
1.0
5.2706 0.0000 0.0000
2.6353 4.5645 0.0000
2.6353 1.5215 4.3034
Sc Pm Mg Zr
1 1 1 1
Direct
0.0000 0.0000 0.0000
0.5000 0.5000 0.5000
0.7500 0.7500 0.7500
0.2500 0.2500 0.2500

Pm2MgSe PBE optimized geometry; total magnetization = 0.00 μB/f.u.; SG = R3m, No. 160; energy above the most stable polymorph in this dataset = 5.8 kJ/mol of atoms
1.0
4.0000 0.0000 0.0000
2.0000 3.4641 0.0000
2.0000 1.1547 8.6882
Se Mg Pm
1 1 2
Direct
0.6673 0.6673 0.9980
0.4996 0.4996 0.5011
0.2653 0.2653 0.2042
0.0678 0.0678 0.7967

PmMgSe2 PBE optimized geometry; total magnetization = 0.00 μB/f.u.; SG = R-3m, No. 166; energy above the most stable polymorph in this dataset = 1.3 kJ/mol of atoms
1.0
3.9561 0.0000 0.0000
1.9780 3.4260 0.0000
1.9780 1.1420 6.9740
Se Pm Mg
2 1 1
Direct
0.7407 0.7407 0.7779
0.2593 0.2593 0.2221
0.5000 0.5000 0.5000
0.0000 0.0000 0.0000

PmMgSe2 PBE optimized geometry; total magnetization = 1.00 μB/f.u.; SG = P3m1, No. 156; energy above the most stable polymorph in this dataset = 22.0 kJ/mol of atoms
1.0
-3.5520 1.8362 1.4647
0.8841 -4.0394 1.0175
3.9138 2.4680 6.3971
Mg Se Pm
1 2 1
Direct
0.0000 0.0000 0.0016
0.6667 0.3333 0.8925
0.0000 0.0000 0.3304
0.6667 0.3333 0.5254

Pm3Mg5Se12 PBE optimized geometry; total magnetization = 0.00 μB/f.u.; SG = Ia-3d, No. 230
1.0
-5.8149 -5.8038 -11.4744
3.2364 -10.1350 9.2718
-9.1495 8.9990 5.8706
Mg Se Pm
20 48 12
Direct
0.0000 0.0000 0.0000
0.3750 0.1250 0.7500
0.5000 0.0000 0.0000
0.3750 0.2500 0.1250
0.5000 0.5000 0.0000
0.0000 0.5000 0.0000
0.0000 0.5000 0.5000
0.1250 0.3750 0.2500
0.7500 0.6250 0.3750
0.8750 0.6250 0.7500
0.2500 0.8750 0.1250
0.5000 0.5000 0.5000
0.8750 0.2500 0.6250
0.0000 0.0000 0.5000
0.6250 0.7500 0.8750
0.5000 0.0000 0.5000
0.7500 0.1250 0.8750
0.1250 0.7500 0.3750
0.6250 0.8750 0.2500
0.2500 0.3750 0.6250
0.9169 0.8229 0.5436
0.6771 0.4564 0.5831
0.4169 0.0436 0.3229
0.1267 0.4060 0.0831
0.4564 0.7793 0.8733
0.5940 0.7207 0.6771
0.8229 0.9169 0.0436
0.0436 0.4169 0.8229
0.2207 0.5436 0.6267
0.4169 0.3733 0.5940
0.7793 0.3229 0.9060
0.4060 0.2793 0.3229
0.9169 0.0940 0.8733
0.1267 0.7207 0.5436
0.1771 0.0940 0.7207
0.2793 0.4060 0.8229
0.4564 0.6771 0.0831
0.7207 0.1267 0.0436
0.5436 0.3229 0.9169
0.6267 0.5831 0.9060
0.9564 0.5831 0.1771
0.3229 0.7793 0.4060
0.7793 0.4564 0.3733
0.8229 0.9060 0.2793
0.5940 0.8733 0.4169
0.3733 0.9564 0.7793
0.0831 0.9060 0.1267
0.6771 0.2207 0.5940
0.2793 0.8733 0.9564
0.0831 0.1771 0.4564
0.9060 0.8229 0.7793
0.7207 0.5940 0.1771
0.0436 0.6267 0.7207
0.9564 0.3733 0.2793
0.5831 0.9564 0.6771
0.9060 0.0831 0.6267
0.4060 0.1267 0.5831
0.3733 0.4169 0.0940
0.8733 0.2793 0.4564
0.5831 0.6267 0.4060
0.8733 0.5940 0.9169
0.0940 0.1771 0.2207
0.0940 0.9169 0.3733
0.2207 0.6771 0.0940
0.6267 0.0436 0.2207
0.3229 0.5436 0.4169
0.1771 0.0831 0.9564
0.5436 0.2207 0.1267
0.2500 0.1250 0.3750
0.1250 0.2500 0.8750
0.3750 0.7500 0.6250
0.3750 0.6250 0.2500
0.2500 0.6250 0.8750
0.7500 0.3750 0.1250
0.7500 0.8750 0.6250
0.6250 0.2500 0.3750
0.1250 0.8750 0.7500
0.6250 0.3750 0.7500
0.8750 0.1250 0.2500
0.8750 0.7500 0.1250

Pm2MgSe PBE optimized geometry; total magnetization = 0.00 μB/f.u.; SG = R-3m, No. 166; energy above the most stable polymorph in this dataset = 0.0 kJ/mol of atoms
1.0
4.0517 0.0000 0.0000
2.0258 3.5089 0.0000
2.0258 1.1696 8.2610
Pm Se Mg
2 1 1
Direct
0.7373 0.7373 0.7880
0.2627 0.2627 0.2120
0.0000 0.0000 0.0000
0.5000 0.5000 0.5000

The following N(E_F) values (in states/eV/atom) correspond, in order, to the records above: 1.672, 0.868, 1.464, 1.529, 1.573, 1.160, 1.261, 0.654, 0.384, 0.875, 1.561, 1.147, 0.674, 1.082, 1.438, 1.028, 0.450, 0.268, 0.934, 0.674.
The following uncorrected energy values (in eV per cell) correspond, in order, to the records above: -18.70, -19.20, -36.20, -36.11, -35.69, -17.23, -17.33, -22.99, -87.59, -15.91, -34.98, -14.60, -26.33, -14.74, -20.65, -17.79, -19.14, -18.28, -343.10, -18.03.